1.
DFT (PBE) results for a relaxed structure of Cd2SbMo.

a b c (Å): 10.1760 2.9969 5.4897
angles (deg): 90.00 97.93 90.00
With the nearest neighbours (Å) after each atom.
Atoms (fractional coordinates):
Cd (0.0000, 0.0000, 0.0000)  5 Cd 2.86-3.07, 2 Mo 3.00, 2 Sb 3.03
Cd (0.2448, 0.0000, 0.7983)  5 Cd 2.86-3.07, 1 Sb 3.08, 4 Mo 3.13-3.14
Cd (0.5000, 0.5000, 0.0000)  5 Cd 2.86-3.07, 2 Mo 3.00, 2 Sb 3.03
Cd (0.7448, 0.5000, 0.7983)  5 Cd 2.86-3.07, 1 Sb 3.08, 4 Mo 3.13-3.14
Sb (0.4651, 0.0000, 0.4669)  3 Mo 2.92, 2 Sb 3.00, 5 Cd 3.03-3.26
Sb (0.9651, 0.5000, 0.4669)  3 Mo 2.92, 2 Sb 3.00, 5 Cd 3.03-3.26
Mo (0.2236, 0.5000, 0.2921)  3 Sb 2.92, 2 Mo 3.00, 6 Cd 3.00-3.14
Mo (0.7236, 0.0000, 0.2921)  3 Sb 2.92, 2 Mo 3.00, 6 Cd 3.00-3.14

Properties
Energy ... -3.822 eV per atom

***

2.
DFT (PBE) results for a relaxed structure of Sc3Ag3SnS8.

a b c (Å): 7.5143 7.5143 7.7607
angles (deg): 119.16 119.16 60.01
With the nearest neighbours (Å) after each atom.
Atoms (fractional coordinates):
Sc (0.0000, 0.0000, 0.0000)  6 S 2.58-2.62
Sc (0.0000, 0.5000, 0.0000)  6 S 2.58-2.62
Sc (0.5000, 0.0000, 0.0000)  6 S 2.58-2.62
Ag (0.0000, 0.5000, 0.5000)  6 S 2.77-2.83
Ag (0.5000, 0.0000, 0.5000)  6 S 2.77-2.83
Ag (0.5000, 0.5000, 0.5000)  6 S 2.78-2.81
Sn (0.5000, 0.5000, 0.0000)  6 S 2.59
S (0.2399, 0.2399, 0.2180)  3 Sc 2.58, 3 Ag 2.81-2.83
S (0.2471, 0.7408, 0.2271)  1 Sn 2.59, 2 Sc 2.62, 2 Ag 2.77-2.78
S (0.2594, 0.2594, 0.7731)  1 Sn 2.59, 2 Sc 2.62, 2 Ag 2.78
S (0.2592, 0.7529, 0.7729)  1 Sn 2.59, 2 Sc 2.62, 2 Ag 2.77-2.78
S (0.7408, 0.2471, 0.2271)  1 Sn 2.59, 2 Sc 2.62, 2 Ag 2.77-2.78
S (0.7406, 0.7406, 0.2269)  1 Sn 2.59, 2 Sc 2.62, 2 Ag 2.78
S (0.7529, 0.2592, 0.7729)  1 Sn 2.59, 2 Sc 2.62, 2 Ag 2.77-2.78
S (0.7601, 0.7601, 0.7820)  3 Sc 2.58, 3 Ag 2.81-2.83

Properties
Energy ... -5.312 eV per atom

***

3.
DFT (PBE) results for a relaxed structure of Sm6Dy5Sc.

a b c (Å): 9.4241 9.4241 9.4241
angles (deg): 148.92 115.72 73.12
With the nearest neighbours (Å) after each atom.
Atoms (fractional coordinates):
Sm (0.0822, 0.3344, 0.7478)  1 Sc 3.53, 7 Dy 3.54-3.60, 4 Sm 3.56-3.59
Sm (0.2462, 0.0000, 0.2462)  6 Dy 3.51-3.59, 2 Sc 3.53, 4 Sm 3.56
Sm (0.4134, 0.6656, 0.7478)  1 Sc 3.53, 7 Dy 3.54-3.60, 4 Sm 3.56-3.59
Sm (0.5866, 0.3344, 0.2522)  1 Sc 3.53, 7 Dy 3.54-3.60, 4 Sm 3.56-3.59
Sm (0.7538, 0.0000, 0.7538)  6 Dy 3.51-3.59, 2 Sc 3.53, 4 Sm 3.56
Sm (0.9178, 0.6656, 0.2522)  1 Sc 3.53, 7 Dy 3.54-3.60, 4 Sm 3.56-3.59
Dy (0.1651, 0.1651, 0.0000)  8 Sm 3.51-3.60, 2 Sc 3.55, 2 Dy 3.59
Dy (0.3339, 0.8339, 0.5000)  8 Sm 3.56-3.58, 4 Dy 3.56-3.59
Dy (0.5000, 0.5000, 0.0000)  8 Sm 3.56-3.59, 4 Dy 3.56
Dy (0.6661, 0.1661, 0.5000)  8 Sm 3.56-3.58, 4 Dy 3.56-3.59
Dy (0.8349, 0.8349, 0.0000)  8 Sm 3.51-3.60, 2 Sc 3.55, 2 Dy 3.59
Sc (0.0000, 0.5000, 0.5000)  8 Sm 3.53, 4 Dy 3.55

Properties
Energy ... -4.779 eV per atom
ΔH_f (0 K) ... 0.03 eV per atom

***

4.
DFT (PBE) results for a relaxed structure of Li3U3Se8.

a b c (Å): 8.0191 8.0191 8.0191
angles (deg): 62.62 62.62 62.62
With the nearest neighbours (Å) after each atom.
Atoms (fractional coordinates):
Li (0.0000, 0.0000, 0.0000)  6 Se 2.82
Li (0.3885, 0.3885, 0.3885)  4 Se 2.63-2.72
Li (0.6115, 0.6115, 0.6115)  4 Se 2.63-2.72
U (0.0000, 0.0000, 0.5000)  6 Se 2.79-2.86
U (0.0000, 0.5000, 0.0000)  6 Se 2.79-2.86
U (0.5000, 0.0000, 0.0000)  6 Se 2.79-2.86
Se (0.2254, 0.7557, 0.7557)  2 Li 2.63-2.82, 2 U 2.79
Se (0.2443, 0.2443, 0.7746)  2 Li 2.63-2.82, 2 U 2.79
Se (0.2443, 0.7746, 0.2443)  2 Li 2.63-2.82, 2 U 2.79
Se (0.2472, 0.2472, 0.2472)  1 Li 2.72, 3 U 2.86
Se (0.7528, 0.7528, 0.7528)  1 Li 2.72, 3 U 2.86
Se (0.7557, 0.2254, 0.7557)  2 Li 2.63-2.82, 2 U 2.79
Se (0.7557, 0.7557, 0.2254)  2 Li 2.63-2.82, 2 U 2.79
Se (0.7746, 0.2443, 0.2443)  2 Li 2.63-2.82, 2 U 2.79

Properties
Energy ... -5.974 eV per atom

***

5.
DFT (PBE) results for a relaxed structure of Pm6ZnCd5.

a b c (Å): 8.4858 8.4858 7.6459
angles (deg): 90.00 90.00 143.17
With the nearest neighbours (Å) after each atom.
Atoms (fractional coordinates):
Pm (0.0000, 0.0000, 0.2406)  2 Zn 3.25, 6 Cd 3.30-3.36
Pm (0.0000, 0.0000, 0.7594)  2 Zn 3.25, 6 Cd 3.30-3.36
Pm (0.3375, 0.6625, 0.2452)  1 Zn 3.22, 7 Cd 3.26-3.35
Pm (0.3375, 0.6625, 0.7548)  1 Zn 3.22, 7 Cd 3.26-3.35
Pm (0.6625, 0.3375, 0.2452)  1 Zn 3.22, 7 Cd 3.26-3.35
Pm (0.6625, 0.3375, 0.7548)  1 Zn 3.22, 7 Cd 3.26-3.35
Zn (0.5000, 0.5000, 0.0000)  8 Pm 3.22-3.25
Cd (0.1684, 0.8316, 0.5000)  8 Pm 3.32-3.36
Cd (0.1699, 0.8301, 0.0000)  8 Pm 3.27-3.30
Cd (0.5000, 0.5000, 0.5000)  8 Pm 3.26-3.34
Cd (0.8301, 0.1699, 0.0000)  8 Pm 3.27-3.30
Cd (0.8316, 0.1684, 0.5000)  8 Pm 3.32-3.36

Properties
Energy ... -3.175 eV per atom
ΔH_f (0 K) ... -0.31 eV per atom

***

6.
DFT (PBE) results for a relaxed structure of Cs3Li2Hg9.

a b c (Å): 10.0745 10.0745 10.0745
angles (deg): 150.52 101.46 86.04
With the nearest neighbours (Å) after each atom.
Atoms (fractional coordinates):
Cs (0.0000, 0.0000, 0.0000)  12 Hg 4.01-4.21, 4 Li 4.40, 2 Cs 4.41
Cs (0.2993, 0.2993, 0.0000)  12 Hg 3.87-4.21, 2 Li 4.07
Cs (0.7007, 0.7007, 0.0000)  12 Hg 3.87-4.21, 2 Li 4.07
Li (0.2805, 0.5000, 0.7805)  6 Hg 2.88-3.04
Li (0.7195, 0.5000, 0.2195)  6 Hg 2.88-3.04
Hg (0.0009, 0.3289, 0.6720)  1 Li 2.88, 2 Hg 3.08
Hg (0.1757, 0.8888, 0.2869)  2 Li 3.04, 5 Hg 3.08-3.28
Hg (0.3431, 0.6711, 0.6720)  1 Li 2.88, 2 Hg 3.08
Hg (0.3981, 0.1112, 0.2869)  2 Li 3.04, 5 Hg 3.08-3.28
Hg (0.5000, 0.0000, 0.5000)  4 Hg 3.17
Hg (0.6019, 0.8888, 0.7131)  2 Li 3.04, 5 Hg 3.08-3.28
Hg (0.6569, 0.3289, 0.3280)  1 Li 2.88, 2 Hg 3.08
Hg (0.8243, 0.1112, 0.7131)  2 Li 3.04, 5 Hg 3.08-3.28
Hg (0.9991, 0.6711, 0.3280)  1 Li 2.88, 2 Hg 3.08

Properties
Energy ... -0.878 eV per atom
ΔH_f (0 K) ... -0.23 eV per atom